Record 1
Cd2ReAs | PBE | relaxed

Results
Magnetization = 0.000 μB/atom
N(E_F) = 3.1 states/eV/cell
Energy of formation from the pure elements = 1.8 eV/f.u.
V = 18.77 A^3/atom

Unit cell a=4.447 b=3.078 c=5.699 alpha=74.23 beta=90.00 gamma=90.00
Atoms (fractional coordinates):
Cd 0.000 0.943 0.986
Cd 0.500 0.302 0.273
As 0.500 0.574 0.727
Re 0.000 0.681 0.514

***

Record 2
Sr2Br | PBE | relaxed

Results
Magnetization = 0.000 μB/atom
N(E_F) = 2.3 states/eV/cell
ΔE_f (raw) = -856 meV/atom
V = 40.31 A^3/atom

Unit cell a=8.129 b=8.129 c=8.129 alpha=151.64 beta=151.64 gamma=40.53
Atoms (fractional coordinates):
Br 0.500 0.500 0.000
Sr 0.850 0.850 0.000
Sr 0.150 0.150 0.000

***

Record 3
AcHo6Tl3 | PBE | relaxed

Results
Magnetization = 0.000 μB/atom
N(E_F) = 27.1 states/eV/cell
Energy of formation from the pure elements = -1.3 eV/f.u.
V = 31.79 A^3/atom

Unit cell a=8.595 b=8.626 c=8.626 alpha=96.19 beta=90.00 gamma=90.00
Atoms (fractional coordinates):
Ac 0.502 0.694 0.306
Ac 0.002 0.306 0.694
Tl 0.361 0.429 0.571
Tl 0.458 0.898 0.724
Tl 0.458 0.276 0.102
Tl 0.861 0.571 0.429
Tl 0.958 0.724 0.898
Tl 0.958 0.102 0.276
Ho 0.302 0.066 0.427
Ho 0.160 0.737 0.610
Ho 0.074 0.765 0.235
Ho 0.802 0.934 0.573
Ho 0.660 0.263 0.390
Ho 0.160 0.390 0.263
Ho 0.302 0.573 0.934
Ho 0.660 0.610 0.737
Ho 0.802 0.427 0.066
Ho 0.707 0.981 0.019
Ho 0.207 0.019 0.981
Ho 0.574 0.235 0.765

***

Record 4
MgSc2Be | PBE | relaxed

Results
Magnetization = 0.116 μB/atom
N(E_F) = 5.0 states/eV/cell
Energy of formation from the pure elements = 0.4 eV/f.u.
V = 19.70 A^3/atom

Unit cell a=5.827 b=5.827 c=5.827 alpha=148.06 beta=130.57 gamma=60.07
Atoms (fractional coordinates):
Sc 0.003 0.003 0.000
Sc 0.709 0.209 0.500
Mg 0.294 0.794 0.500
Be 0.494 0.494 0.000

***

Record 5
V3SbIr | PBE | relaxed

Results
Magnetization = 0.737 μB/atom
N(E_F) = 8.7 states/eV/cell
ΔE_f (raw) = 715 meV/atom
V = 20.44 A^3/atom

Unit cell a=4.676 b=4.676 c=4.676 alpha=90.00 beta=90.00 gamma=90.00
Atoms (fractional coordinates):
Sb 0.500 0.500 0.500
V 0.000 0.000 0.500
V 0.000 0.500 0.000
V 0.500 0.000 0.000
Ir 0.000 0.000 0.000

***

Record 6
Zn3BiIr | PBE | relaxed

Results
Magnetization = 0.000 μB/atom
N(E_F) = 3.2 states/eV/cell
Energy of formation from the pure elements = 1.4 eV/f.u.
V = 22.40 A^3/atom

Unit cell a=4.821 b=4.821 c=4.821 alpha=90.00 beta=90.00 gamma=90.00
Atoms (fractional coordinates):
Zn 0.000 0.000 0.500
Zn 0.000 0.500 0.000
Zn 0.500 0.000 0.000
Bi 0.500 0.500 0.500
Ir 0.000 0.000 0.000

***

Record 7
KGe3Au | PBE | relaxed

Results
Magnetization = 0.000 μB/atom
N(E_F) = 5.0 states/eV/cell
Energy of formation from the pure elements = 2.1 eV/f.u.
V = 28.48 A^3/atom

Unit cell a=5.222 b=5.222 c=5.222 alpha=90.00 beta=90.00 gamma=90.00
Atoms (fractional coordinates):
Ge 0.000 0.000 0.500
Ge 0.000 0.500 0.000
Ge 0.500 0.000 0.000
K 0.500 0.500 0.500
Au 0.000 0.000 0.000

***

Record 8
Sc3HgO | PBE | relaxed

Results
Magnetization = 0.000 μB/atom
N(E_F) = 8.7 states/eV/cell
ΔE_f (raw) = -1166 meV/atom
V = 19.94 A^3/atom

Unit cell a=7.805 b=7.805 c=7.805 alpha=42.87 beta=42.87 gamma=42.87
Atoms (fractional coordinates):
Hg 0.664 0.664 0.664
Hg 0.336 0.336 0.336
Sc 0.549 0.904 0.220
Sc 0.780 0.451 0.096
Sc 0.220 0.549 0.904
Sc 0.451 0.096 0.780
Sc 0.096 0.780 0.451
Sc 0.904 0.220 0.549
O 0.162 0.162 0.162
O 0.838 0.838 0.838

***

Record 9
KSrNi | PBE | relaxed

Results
Magnetization = 0.000 μB/atom
N(E_F) = 2.0 states/eV/cell
Energy of formation from the pure elements = 1.0 eV/f.u.
V = 36.78 A^3/atom

Unit cell a=8.074 b=8.074 c=3.807 alpha=76.36 beta=76.36 gamma=27.27
Atoms (fractional coordinates):
K 0.964 0.964 0.036
Sr 0.723 0.723 0.277
Ni 0.313 0.313 0.687

***

Record 10
KAl3H | PBE | relaxed

Results
Magnetization = 0.000 μB/atom
N(E_F) = 2.6 states/eV/cell
Final energy = -2.584 eV per atom
V = 19.26 A^3/atom

Unit cell a=4.583 b=4.583 c=4.583 alpha=90.00 beta=90.00 gamma=90.00
Atoms (fractional coordinates):
Al 0.000 0.500 0.000
Al 0.000 0.000 0.500
Al 0.500 0.000 0.000
H 0.000 0.000 0.000
K 0.500 0.500 0.500

***

Record 11
CdCuGeRh2 | PBE | relaxed

Results
Magnetization = 0.000 μB/atom
N(E_F) = 3.5 states/eV/cell
Energy of formation from the pure elements = 4.1 eV/f.u.
V = 19.57 A^3/atom

Unit cell a=4.587 b=4.649 c=4.587 alpha=90.00 beta=90.00 gamma=90.00
Atoms (fractional coordinates):
Cd 0.000 0.500 0.000
Rh 0.500 0.000 0.000
Rh 0.000 0.000 0.500
Cu 0.000 0.000 0.000
Ge 0.500 0.500 0.500

***

Record 12
TiTlF4 | PBE | relaxed

Results
Magnetization = 0.167 μB/atom
N(E_F) = 12.6 states/eV/cell
ΔE_f (raw) = -2667 meV/atom
V = 24.53 A^3/atom

Unit cell a=5.297 b=7.455 c=7.455 alpha=90.00 beta=90.00 gamma=90.00
Atoms (fractional coordinates):
Ti 0.000 0.500 0.500
Ti 0.000 0.000 0.000
F 0.783 0.801 0.000
F 0.217 0.301 0.500
F 0.217 0.000 0.199
F 0.217 0.699 0.500
F 0.783 0.500 0.301
F 0.783 0.500 0.699
F 0.783 0.199 0.000
F 0.217 0.000 0.801
Tl 0.478 0.000 0.500
Tl 0.522 0.500 0.000

***

Record 13
FeTcAu2 | PBE | relaxed

Results
Magnetization = 0.378 μB/atom
N(E_F) = 12.7 states/eV/cell
Energy of formation from the pure elements = 3.9 eV/f.u.
V = 16.90 A^3/atom

Unit cell a=7.222 b=7.222 c=5.727 alpha=50.91 beta=50.91 gamma=90.00
Atoms (fractional coordinates):
Tc 0.000 0.000 0.000
Tc 0.750 0.250 0.500
Au 0.375 0.397 0.750
Au 0.147 0.625 0.250
Au 0.603 0.125 0.250
Au 0.875 0.853 0.750
Fe 0.500 0.500 0.000
Fe 0.250 0.750 0.500

***

Record 14
VZnAs3 | PBE | relaxed

Results
Magnetization = 0.591 μB/atom
N(E_F) = 6.1 states/eV/cell
Energy of formation from the pure elements = 4.5 eV/f.u.
V = 21.98 A^3/atom

Unit cell a=4.790 b=4.790 c=4.790 alpha=90.00 beta=90.00 gamma=90.00
Atoms (fractional coordinates):
As 0.500 0.000 0.000
As 0.000 0.000 0.500
As 0.000 0.500 0.000
Zn 0.000 0.000 0.000
V 0.500 0.500 0.500

***

Record 15
Ac4Ce3PmS8 | PBE | relaxed

Results
Magnetization = 0.158 μB/atom
N(E_F) = 19.7 states/eV/cell
ΔE_f (raw) = -2008 meV/atom
V = 25.66 A^3/atom

Unit cell a=8.319 b=8.366 c=8.319 alpha=119.82 beta=120.00 gamma=90.00
Atoms (fractional coordinates):
S 0.256 0.268 0.512
S 0.744 0.732 0.988
S 0.244 0.732 0.988
S 0.244 0.732 0.488
S 0.756 0.268 0.012
S 0.256 0.268 0.012
S 0.744 0.732 0.488
S 0.756 0.268 0.512
Ce 0.500 0.500 0.500
Ce 0.500 0.500 0.000
Ce 0.000 0.500 0.500
Ac 0.000 0.000 0.500
Ac 0.000 0.000 0.000
Ac 0.500 0.000 0.500
Ac 0.500 0.000 0.000
Pm 0.000 0.500 0.000

***

Record 16
CeGa3CoOs | PBE | relaxed

Results
Magnetization = 0.000 μB/atom
N(E_F) = 7.1 states/eV/cell
Energy of formation from the pure elements = -1.2 eV/f.u.
V = 18.47 A^3/atom

Unit cell a=5.675 b=7.675 c=6.373 alpha=127.02 beta=90.00 gamma=90.00
Atoms (fractional coordinates):
Ga 0.500 0.751 0.000
Ga 0.250 0.176 0.352
Ga 0.000 0.249 0.000
Ga 0.750 0.824 0.648
Ga 0.500 0.249 0.000
Ga 0.000 0.751 0.000
Co 0.750 0.060 0.119
Co 0.250 0.940 0.881
Ce 0.750 0.282 0.564
Ce 0.250 0.718 0.436
Os 0.750 0.585 0.169
Os 0.250 0.415 0.831

***

Record 17
PbN2F6 | PBE | relaxed

Results
Magnetization = 0.237 μB/atom
ΔE_f (raw) = -896 meV/atom
V = 18.34 A^3/atom

Unit cell a=7.974 b=8.205 c=6.204 alpha=39.16 beta=40.11 gamma=54.52
Atoms (fractional coordinates):
N 0.140 0.193 0.533
N 0.271 0.217 0.237
F 0.833 0.102 0.442
F 0.798 0.606 0.197
F 0.608 0.801 0.583
F 0.308 0.788 0.315
F 0.574 0.305 0.336
F 0.099 0.619 0.464
Pb 0.703 0.704 0.890

***

Record 18
Ac2TmAl3Pd4 | PBE | relaxed

Results
Magnetization = 0.000 μB/atom
N(E_F) = 7.8 states/eV/cell
Energy of formation from the pure elements = -8.2 eV/f.u.
V = 22.21 A^3/atom

Unit cell a=4.527 b=4.527 c=10.836 alpha=90.00 beta=90.00 gamma=90.00
Atoms (fractional coordinates):
Pd 0.000 0.500 0.350
Pd 0.000 0.000 0.000
Pd 0.500 0.000 0.650
Pd 0.500 0.500 0.000
Al 0.500 0.000 0.889
Al 0.000 0.000 0.500
Al 0.000 0.500 0.111
Tm 0.500 0.500 0.500
Ac 0.500 0.000 0.233
Ac 0.000 0.500 0.767

***

Record 19
DyHo3In3Te8 | PBE | relaxed

Results
Magnetization = 0.000 μB/atom
N(E_F) = 5.5 states/eV/cell
ΔE_f (raw) = -1001 meV/atom
V = 34.80 A^3/atom

Unit cell a=8.744 b=8.742 c=9.363 alpha=117.84 beta=90.00 gamma=120.01
Atoms (fractional coordinates):
Te 0.243 0.982 0.724
Te 0.243 0.485 0.724
Te 0.757 0.515 0.276
Te 0.742 0.483 0.725
Te 0.757 0.018 0.276
Te 0.739 0.982 0.724
Te 0.261 0.018 0.276
Te 0.258 0.517 0.275
Dy 0.000 0.000 0.500
In 0.500 0.500 0.000
In 0.000 0.000 0.000
In 0.000 0.500 0.000
Ho 0.500 0.500 0.500
Ho 0.000 0.500 0.500
Ho 0.500 0.000 0.500

***

Record 20
ErTm2Th4 | PBE | relaxed

Results
Magnetization = 0.000 μB/atom
N(E_F) = 22.2 states/eV/cell
Energy of formation from the pure elements = 2.2 eV/f.u.
V = 32.99 A^3/atom

Unit cell a=6.829 b=8.909 c=8.909 alpha=79.07 beta=67.47 gamma=67.47
Atoms (fractional coordinates):
Th 0.231 0.240 0.740
Th 0.853 0.646 0.648
Th 0.853 0.148 0.146
Th 0.147 0.354 0.352
Th 0.769 0.760 0.260
Th 0.147 0.852 0.854
Th 0.789 0.240 0.740
Th 0.211 0.760 0.260
Er 0.000 0.500 0.000
Er 0.500 0.500 0.000
Tm 0.277 0.973 0.473
Tm 0.723 0.027 0.527
Tm 0.500 0.000 0.000
Tm 0.500 0.500 0.500

***

Record 21
K2ZrRu | PBE | relaxed

Results
Magnetization = 0.271 μB/atom
N(E_F) = 3.9 states/eV/cell
Energy of formation from the pure elements = 4.5 eV/f.u.
V = 25.43 A^3/atom

Unit cell a=12.780 b=12.780 c=12.780 alpha=13.69 beta=13.69 gamma=13.69
Atoms (fractional coordinates):
K 0.511 0.511 0.511
K 0.989 0.989 0.989
Ru 0.250 0.250 0.250
Zr 0.750 0.750 0.750

***

Record 22
SbRh2Se | PBE | relaxed

Results
Magnetization = 0.000 μB/atom
N(E_F) = 4.7 states/eV/cell
ΔE_f (raw) = 290 meV/atom
V = 17.60 A^3/atom

Unit cell a=4.635 b=4.635 c=4.635 alpha=60.00 beta=60.00 gamma=60.00
Atoms (fractional coordinates):
Sb 0.500 0.500 0.500
Se 0.750 0.750 0.750
Rh 0.250 0.250 0.250
Rh 0.000 0.000 0.000

***

Record 23
Ag2PbIO2 | PBE | relaxed

Results
Magnetization = 0.000 μB/atom
N(E_F) = 11.5 states/eV/cell
ΔE_f (raw) = -334 meV/atom
V = 21.76 A^3/atom

Unit cell a=5.663 b=5.915 c=8.059 alpha=104.65 beta=90.00 gamma=90.00
Atoms (fractional coordinates):
I 0.250 0.725 0.414
I 0.750 0.275 0.586
Pb 0.750 0.868 0.075
Pb 0.250 0.132 0.925
Ag 0.250 0.203 0.379
Ag 0.750 0.490 0.240
Ag 0.750 0.797 0.621
Ag 0.250 0.510 0.760
O 0.502 0.179 0.151
O 0.998 0.179 0.151
O 0.002 0.821 0.849
O 0.498 0.821 0.849

***

Record 24
NaTbAgSe2 | PBE | relaxed

Results
Magnetization = 0.000 μB/atom
N(E_F) = 4.0 states/eV/cell
ΔE_f (raw) = -946 meV/atom
V = 27.52 A^3/atom

Unit cell a=5.005 b=7.081 c=7.853 alpha=98.61 beta=90.00 gamma=90.00
Atoms (fractional coordinates):
Se 0.643 0.275 0.535
Se 0.357 0.275 0.035
Se 0.643 0.725 0.965
Se 0.357 0.725 0.465
Ag 0.000 0.000 0.500
Ag 0.000 0.000 0.000
Tb 0.506 0.000 0.750
Tb 0.494 0.000 0.250
Na 0.121 0.500 0.750
Na 0.879 0.500 0.250